BaIn2Se at its PBEsol-relaxed geometry. Source: Alexandria, functional meta-GGA SCAN.

Summary:
E_tot   -32.24 eV/atom
Fermi-level density of states   1.4 states/eV per cell
Calculated volume   32.7 Å³/atom
Formation energy from raw total energies   -61.3 kJ/mol of atoms

abc: 8.7885 8.7885 8.7885
angles: 27.85 27.85 27.85
Positions (direct):
Ba 0.0000 0.0000 0.0000
In 0.5171 0.5171 0.5171
In 0.7773 0.7773 0.7773
Se 0.2562 0.2562 0.2562